(1)
Computed, not measured: a relaxed CsRb2U3Te8 crystal at the PBE level of DFT.

Symmetry ... R3m
Raw formation energy ... -0.7563 eV per atom
Calculated total energy ... -5.170 eV per atom
N(E_F) ... 1.27 states/eV/atom

```
data_CsRb2U3Te8
_cell_length_a 10.4928
_cell_length_b 10.4928
_cell_length_c 10.4928
_cell_angle_alpha 51.90
_cell_angle_beta 51.90
_cell_angle_gamma 51.90
_space_group_name_H-M_alt 'P 1'
_space_group_IT_number 1
loop_
_space_group_symop_operation_xyz
'x,y,z'
loop_
_atom_site_label
_atom_site_fract_x
_atom_site_fract_y
_atom_site_fract_z
Cs1 0.0000 0.0000 0.0000
Rb1 0.2767 0.2767 0.2767
Rb2 0.6396 0.6396 0.6396
U1 0.1411 0.6391 0.6391
U2 0.6391 0.1411 0.6391
U3 0.6391 0.6391 0.1411
Te1 0.3811 0.3811 0.8382
Te2 0.3811 0.8382 0.3811
Te3 0.4115 0.4115 0.4115
Te4 0.4457 0.8973 0.8973
Te5 0.8382 0.3811 0.3811
Te6 0.8654 0.8654 0.8654
Te7 0.8973 0.4457 0.8973
Te8 0.8973 0.8973 0.4457
```

***

(2)
Computed, not measured: a relaxed Cs2RbU2Te5 crystal at the PBE level of DFT.

Symmetry ... P4/mbm
Raw formation energy ... -0.8347 eV per atom
Calculated total energy ... -4.931 eV per atom
N(E_F) ... 0.99 states/eV/atom

```
data_Cs2RbU2Te5
_cell_length_a 14.1690
_cell_length_b 14.1690
_cell_length_c 4.0630
_cell_angle_alpha 90.00
_cell_angle_beta 90.00
_cell_angle_gamma 90.00
_space_group_name_H-M_alt 'P 1'
_space_group_IT_number 1
loop_
_space_group_symop_operation_xyz
'x,y,z'
loop_
_atom_site_label
_atom_site_fract_x
_atom_site_fract_y
_atom_site_fract_z
Cs1 0.1810 0.3190 0.0000
Cs2 0.3190 0.8190 0.0000
Cs3 0.6810 0.1810 0.0000
Cs4 0.8190 0.6810 0.0000
Rb1 0.0000 0.0000 0.0000
Rb2 0.5000 0.5000 0.0000
U1 0.1188 0.6188 0.0000
U2 0.3812 0.1188 0.0000
U3 0.6188 0.8812 0.0000
U4 0.8812 0.3812 0.0000
Te1 0.0000 0.5000 0.5000
Te2 0.0706 0.7755 0.5000
Te3 0.2245 0.0706 0.5000
Te4 0.2755 0.5706 0.5000
Te5 0.4294 0.2755 0.5000
Te6 0.5000 0.0000 0.5000
Te7 0.5706 0.7245 0.5000
Te8 0.7245 0.4294 0.5000
Te9 0.7755 0.9294 0.5000
Te10 0.9294 0.2245 0.5000
```

***

(3)
Computed, not measured: a relaxed Cs3Rb2UTe6 crystal at the PBE level of DFT.

Symmetry ... C2/m
Raw formation energy ... -0.8650 eV per atom
Calculated total energy ... -3.751 eV per atom
N(E_F) ... 1.15 states/eV/atom

```
data_Cs3Rb2UTe6
_cell_length_a 8.9341
_cell_length_b 8.9341
_cell_length_c 9.0244
_cell_angle_alpha 99.74
_cell_angle_beta 99.74
_cell_angle_gamma 119.45
_space_group_name_H-M_alt 'P 1'
_space_group_IT_number 1
loop_
_space_group_symop_operation_xyz
'x,y,z'
loop_
_atom_site_label
_atom_site_fract_x
_atom_site_fract_y
_atom_site_fract_z
Cs1 0.0000 0.0000 0.0000
Cs2 0.3205 0.6795 0.0000
Cs3 0.6795 0.3205 0.0000
Rb1 0.1647 0.8353 0.5000
Rb2 0.8353 0.1647 0.5000
U1 0.5000 0.5000 0.5000
Te1 0.1626 0.4346 0.3015
Te2 0.3036 0.3036 0.7028
Te3 0.4346 0.1626 0.3015
Te4 0.5654 0.8374 0.6985
Te5 0.6964 0.6964 0.2972
Te6 0.8374 0.5654 0.6985
```